## BaZnCu3 (PBE-GGA)

Data for an optimized crystal structure of BaZnCu3.

## Properties
* spin magnetization: 0.0 μB/f.u.
* formation energy from the elements: -0.0490 eV/atom
* offset from the most stable computed form: 0.015 eV per atom
* calculated volume: 221.6 Å³ per cell

abc: 4.9109 6.4254 7.0308
angles: 90.00 92.80 90.00
Last column: nearest neighbours and their distance in Å.
Element x y z (fractional)
Ba (0.2210, 0.2500, 0.1586)  9 Cu 3.38-3.59, 3 Zn 3.53-3.57
Ba (0.7790, 0.7500, 0.8414)  9 Cu 3.38-3.59, 3 Zn 3.53-3.57
Zn (0.4848, 0.7500, 0.2901)  6 Cu 2.44-2.56
Zn (0.5152, 0.2500, 0.7099)  6 Cu 2.44-2.56
Cu (0.0171, 0.2500, 0.6928)  2 Zn 2.44-2.47, 4 Cu 2.48
Cu (0.2537, 0.5509, 0.5532)  5 Cu 2.48-2.65, 2 Zn 2.54-2.56
Cu (0.2537, 0.9491, 0.5532)  5 Cu 2.48-2.65, 2 Zn 2.54-2.56
Cu (0.7463, 0.0509, 0.4468)  5 Cu 2.48-2.65, 2 Zn 2.54-2.56
Cu (0.7463, 0.4491, 0.4468)  5 Cu 2.48-2.65, 2 Zn 2.54-2.56
Cu (0.9829, 0.7500, 0.3072)  2 Zn 2.44-2.47, 4 Cu 2.48